Record 1
{"formula": "Ho3Er6Zr", "functional": "PBE", "state": "optimized geometry", "space_group": "Cmc2_1", "dos_ef_per_ev_atom": 1.35, "crystal_system": "orthorhombic", "de_polymorph_mev_per_atom": 0, "m_tot_mub_per_fu": 0.00, "lattice_angstrom": [[6.0613, 0.0000, 0.0000], [0.0000, 10.6569, -1.5740], [0.0000, -3.9124, 10.0369]], "species": ["Ho", "Ho", "Ho", "Ho", "Ho", "Ho", "Er", "Er", "Er", "Er", "Er", "Er", "Er", "Er", "Er", "Er", "Er", "Er", "Zr", "Zr"], "fractional_positions": [[0.4422, 0.9437, 0.7188], [0.9422, 0.7188, 0.9437], [0.0645, 0.3862, 0.6138], [0.5645, 0.6138, 0.3862], [0.9422, 0.0563, 0.2812], [0.4422, 0.2812, 0.0563], [0.0331, 0.7060, 0.6186], [0.5331, 0.6186, 0.7060], [0.3754, 0.5403, 0.9563], [0.8754, 0.9563, 0.5403], [0.4203, 0.9484, 0.0516], [0.6476, 0.2744, 0.7256], [0.1476, 0.7256, 0.2744], [0.9203, 0.0516, 0.9484], [0.3754, 0.0437, 0.4597], [0.8754, 0.4597, 0.0437], [0.0331, 0.3814, 0.2940], [0.5331, 0.2940, 0.3814], [0.1514, 0.2094, 0.7906], [0.6514, 0.7906, 0.2094]]}

=====

Record 2
{"formula": "Rb2CO4", "functional": "PBE", "state": "optimized geometry", "space_group": "Cmcm", "dos_ef_per_ev_atom": 0.04, "crystal_system": "orthorhombic", "de_polymorph_mev_per_atom": 37, "m_tot_mub_per_fu": 2.00, "lattice_angstrom": [[-0.9431, -5.0598, 2.8251], [6.9810, -0.0892, 2.1707], [-3.6471, 3.5937, 5.2189]], "species": ["C", "C", "O", "O", "O", "O", "O", "O", "O", "O", "Rb", "Rb", "Rb", "Rb"], "fractional_positions": [[0.7500, 0.8221, 0.1779], [0.2500, 0.1779, 0.8221], [0.7500, 0.7747, 0.9822], [0.2500, 0.9822, 0.7747], [0.2500, 0.2253, 0.0178], [0.7500, 0.0178, 0.2253], [0.9313, 0.7458, 0.2542], [0.0687, 0.2542, 0.7458], [0.5687, 0.7458, 0.2542], [0.4313, 0.2542, 0.7458], [0.7500, 0.9142, 0.6497], [0.2500, 0.6497, 0.9142], [0.2500, 0.0858, 0.3503], [0.7500, 0.3503, 0.0858]]}

=====

Record 3
{"formula": "YTlIr2", "functional": "PBE", "state": "optimized geometry", "space_group": "I4/mmm", "dos_ef_per_ev_atom": 0.43, "crystal_system": "tetragonal", "de_polymorph_mev_per_atom": 61, "m_tot_mub_per_fu": 0.00, "lattice_angstrom": [[-4.1060, 1.6883, 2.0982], [-2.7756, -4.0228, -0.4750], [4.4665, 0.1238, 2.0364]], "species": ["Ir", "Ir", "Tl", "Y"], "fractional_positions": [[0.0000, 0.0000, 0.0000], [0.5000, 0.5000, 0.0000], [0.7500, 0.2500, 0.5000], [0.2500, 0.7500, 0.5000]]}

=====

Record 4
{"formula": "Dy3ErTm12", "functional": "PBE", "state": "optimized geometry", "e_tot_ev_per_atom": -4.477, "space_group": "P4/mmm", "dos_ef_per_ev_atom": 1.34, "crystal_system": "tetragonal", "m_tot_mub_per_fu": 0.00, "lattice_angstrom": [[4.9387, 0.0000, 0.0000], [0.0000, 4.9387, 0.0000], [0.0000, 0.0000, 19.7546]], "species": ["Dy", "Dy", "Dy", "Er", "Tm", "Tm", "Tm", "Tm", "Tm", "Tm", "Tm", "Tm", "Tm", "Tm", "Tm", "Tm"], "fractional_positions": [[0.0000, 0.0000, 0.2497], [0.0000, 0.0000, 0.5000], [0.0000, 0.0000, 0.7503], [0.0000, 0.0000, 0.0000], [0.5000, 0.5000, 0.0000], [0.5000, 0.5000, 0.2496], [0.5000, 0.5000, 0.5000], [0.5000, 0.5000, 0.7504], [0.5000, 0.0000, 0.1245], [0.5000, 0.0000, 0.3748], [0.5000, 0.0000, 0.6252], [0.5000, 0.0000, 0.8755], [0.0000, 0.5000, 0.1245], [0.0000, 0.5000, 0.3748], [0.0000, 0.5000, 0.6252], [0.0000, 0.5000, 0.8755]]}

=====

Record 5
{"formula": "CaURu2", "functional": "PBE", "state": "optimized geometry", "e_tot_ev_per_atom": -7.949, "space_group": "P4/mmm", "dos_ef_per_ev_atom": 1.12, "crystal_system": "tetragonal", "m_tot_mub_per_fu": 1.08, "lattice_angstrom": [[-0.3695, -2.2580, -2.4331], [0.3979, -3.5077, 3.1948], [-4.7152, 0.0636, 0.6570]], "species": ["Ru", "Ru", "Ca", "U"], "fractional_positions": [[0.0000, 0.0000, 0.5000], [0.0000, 0.5000, 0.0000], [0.5000, 0.0000, 0.0000], [0.5000, 0.5000, 0.5000]]}

=====

Record 6
{"formula": "AcErThZr", "functional": "PBE", "state": "optimized geometry", "e_tot_ev_per_atom": -5.960, "space_group": "F-43m", "dos_ef_per_ev_atom": 1.03, "crystal_system": "cubic", "m_tot_mub_per_fu": 0.00, "lattice_angstrom": [[-0.4067, 4.9980, 2.5277], [-4.0401, 0.9076, 3.7932], [1.3155, 0.5130, 5.4352]], "species": ["Ac", "Zr", "Th", "Er"], "fractional_positions": [[0.0000, 0.0000, 0.0000], [0.2500, 0.2500, 0.2500], [0.5000, 0.5000, 0.5000], [0.7500, 0.7500, 0.7500]]}

=====

Record 7
{"formula": "ScZnGe", "functional": "PBE", "state": "optimized geometry", "e_tot_ev_per_atom": -4.328, "space_group": "I4mm", "dos_ef_per_ev_atom": 0.64, "crystal_system": "tetragonal", "m_tot_mub_per_fu": 0.00, "lattice_angstrom": [[-2.1569, 2.1321, 1.0839], [-1.2830, 0.2003, -2.9473], [-1.5939, -5.1155, 2.1059]], "species": ["Sc", "Ge", "Zn"], "fractional_positions": [[0.6164, 0.6164, 0.2328], [0.2934, 0.2934, 0.5868], [0.9402, 0.9402, 0.8803]]}

=====

Record 8
{"formula": "Mn2CuTc", "functional": "PBE", "state": "optimized geometry", "e_tot_ev_per_atom": -7.971, "space_group": "C2/m", "dos_ef_per_ev_atom": 1.27, "crystal_system": "monoclinic", "m_tot_mub_per_fu": 3.53, "lattice_angstrom": [[-3.1437, 0.3584, 3.1710], [-4.2251, -0.9079, 1.1794], [0.7375, -3.9481, 2.1098]], "species": ["Cu", "Mn", "Mn", "Tc"], "fractional_positions": [[0.2500, 0.2500, 0.2500], [0.9970, 0.9970, 0.0055], [0.5030, 0.5030, 0.4945], [0.7500, 0.7500, 0.7500]]}